Entry 1:
Material: HgAs3F
Method: DFT, PBE-GGA
State: relaxed

Cell and atoms, written as POSCAR:
```
HgAs3F
1.0
5.2131 0.0000 0.0000
0.0000 5.2131 0.0000
0.0000 0.0000 5.2131
Hg As F
1 3 1
Direct
0.0000 0.0000 0.0000 Hg
0.0000 0.0000 0.5000 As
0.0000 0.5000 0.0000 As
0.5000 0.0000 0.0000 As
0.5000 0.5000 0.5000 F
```

- uncorrected formation energy (meV per atom) = 926.1
- space-group type = Pm-3m (221)

Entry 2:
Material: HgAsF2
Method: DFT, PBE-GGA
State: relaxed

Cell and atoms, written as POSCAR:
```
HgAsF2
1.0
-2.0629 2.0629 7.7928
2.0629 -2.0629 7.7928
2.0629 2.0629 -7.7928
Hg As F
2 2 4
Direct
0.0000 0.0000 0.0000 Hg
0.7500 0.2500 0.5000 Hg
0.2500 0.7500 0.5000 As
0.5000 0.5000 0.0000 As
0.1994 0.6250 0.0744 F
0.3750 0.4494 0.5744 F
0.5506 0.1250 0.9256 F
0.8750 0.8006 0.4256 F
```

- uncorrected formation energy (meV per atom) = -839.9
- space-group type = I-42d (122)

Entry 3:
Material: Hg2AsF5
Method: DFT, PBE-GGA
State: relaxed

Cell and atoms, written as POSCAR:
```
Hg2AsF5
1.0
3.4906 -5.0265 0.0000
3.4906 5.0265 0.0000
-3.4488 0.0000 7.0253
Hg As F
2 1 5
Direct
0.2494 0.7506 0.0000 Hg
0.7506 0.2494 0.0000 Hg
0.4989 0.4989 0.4931 As
0.2246 0.2246 0.3715 F
0.3255 0.6725 0.4927 F
0.6179 0.6179 0.7384 F
0.6553 0.6553 0.3736 F
0.6725 0.3255 0.4927 F
```

- uncorrected formation energy (meV per atom) = -1489.2
- space-group type = Cm (8)